GGA+U FeRhF2, relaxed; space-group type = R-3m (166); energy = -5.064 eV/atom; density of states at the Fermi level = 3.27 states/eV per cell; calculated volume = 49 Å³/cell
1.0
1.4005 0.8086 7.1993
-1.4005 0.8086 7.1993
0.0000 -1.6172 7.1993
Fe Rh F
1 1 2
Direct
0.0000 0.0000 0.0000
0.5000 0.5000 0.5000
0.4002 0.4002 0.4002
0.5998 0.5998 0.5998